Compound: AuSF2
Source: Alexandria via LeMat-Bulk
Functional: meta-GGA SCAN
Structure: PBEsol geometry

Summary:
**Calculated density**: 8.78 Mg/m³

abc: 4.148 4.148 4.148
angles: 60.00 60.00 60.00
Last column: magnetic moment on the atom in μB.
Element x y z (fractional)
F 0.250 0.250 0.250  -0.22
F 0.750 0.750 0.750  -0.22
S 0.000 0.000 0.000  -0.78
Au 0.500 0.500 0.500  -0.06



Compound: Sb2AuF
Source: Alexandria via LeMat-Bulk
Functional: meta-GGA SCAN
Structure: PBEsol geometry

Summary:
**Calculated density**: 10.35 Mg/m³

abc: 4.707 4.707 4.707
angles: 60.00 60.00 60.00
Element x y z (fractional)
Sb 0.750 0.750 0.750
Sb 0.250 0.250 0.250
Au 0.500 0.500 0.500
F 0.000 0.000 0.000



Compound: Sb3AuF
Source: Alexandria via LeMat-Bulk
Functional: meta-GGA SCAN
Structure: PBEsol geometry

Summary:
**Calculated density**: 8.63 Mg/m³

abc: 4.818 4.818 4.818
angles: 90.00 90.00 90.00
Element x y z (fractional)
Au 0.500 0.500 0.500
F 0.000 0.000 0.000
Sb 0.000 0.000 0.500
Sb 0.500 0.000 0.000
Sb 0.000 0.500 0.000



no.,total magnetization (μB per atom),VASP energy (Ha/atom)
1,0.404,-0.782
2,0.000,-1.376
3,0.000,-1.348